# 1
A plane-wave DFT calculation with GGA-PBEsol was carried out for an optimized crystal structure of Li2VOF4.

* formation energy without anion corrections: -22.64 eV/f.u.
* total energy: -98.3 eV for the cell shown
* energy above the most stable polymorph in this dataset: 0.000 eV per atom
* space-group type: Cmcm
* magnetic moment: 1.0 μB per formula unit

Unit cell a=3.556 b=5.286 c=9.989 alpha=90.00 beta=90.00 gamma=109.65
Atoms (fractional coordinates):
Li1 0.868 0.736 0.559
Li2 0.132 0.264 0.059
Li3 0.132 0.264 0.441
Li4 0.868 0.736 0.941
F1 0.310 0.620 0.904
F2 0.051 0.102 0.619
F3 0.690 0.380 0.096
F4 0.310 0.620 0.596
F5 0.690 0.380 0.404
F6 0.051 0.102 0.881
F7 0.949 0.898 0.381
F8 0.949 0.898 0.119
V1 0.185 0.370 0.750
V2 0.815 0.630 0.250
O1 0.712 0.424 0.750
O2 0.288 0.576 0.250

---

# 2
A plane-wave DFT calculation with GGA-PBEsol was carried out for an optimized crystal structure of LiV3O4F8.

* formation energy without anion corrections: -41.51 eV/f.u.
* total energy: -108.8 eV for the cell shown
* space-group type: P1
* magnetic moment: 0.0 μB per formula unit

Unit cell a=5.236 b=5.778 c=7.579 alpha=113.27 beta=107.60 gamma=92.82
Atoms (fractional coordinates):
V1 0.940 0.975 0.968
V2 0.276 0.638 0.163
V3 0.622 0.199 0.337
Li1 0.311 0.563 0.681
F1 0.956 0.328 0.527
F2 0.110 0.824 0.786
F3 0.143 0.671 0.356
F4 0.926 0.622 0.980
F5 0.614 0.851 0.360
F6 0.623 0.848 0.757
F7 0.492 0.292 0.549
F8 0.399 0.531 0.955
O1 0.269 0.961 0.171
O2 0.764 0.045 0.146
O3 0.058 0.272 0.021
O4 0.513 0.420 0.264

---

# 3
A plane-wave DFT calculation with GGA-PBEsol was carried out for an optimized crystal structure of Li7VO5F.

* formation energy without anion corrections: -30.23 eV/f.u.
* total energy: -163.6 eV for the cell shown
* energy above the most stable polymorph in this dataset: 0.000 eV per atom
* space-group type: P-1
* magnetic moment: 1.0 μB per formula unit

Unit cell a=5.163 b=5.842 c=9.625 alpha=94.89 beta=104.50 gamma=111.35
Atoms (fractional coordinates):
F1 0.467 0.655 0.388
F2 0.533 0.345 0.612
O1 0.037 0.263 0.034
O2 0.120 0.790 0.581
O3 0.776 0.913 0.729
O4 0.178 0.535 0.791
O5 0.880 0.210 0.419
O6 0.822 0.465 0.209
O7 0.385 0.088 0.871
O8 0.615 0.912 0.129
O9 0.963 0.737 0.966
O10 0.224 0.087 0.271
V1 0.069 0.797 0.794
V2 0.931 0.203 0.206
Li1 0.800 0.884 0.535
Li2 0.710 0.929 0.933
Li3 0.907 0.767 0.155
Li4 0.573 0.389 0.330
Li5 0.104 0.596 0.411
Li6 0.896 0.404 0.589
Li7 0.737 0.391 0.975
Li8 0.200 0.116 0.465
Li9 0.093 0.233 0.845
Li10 0.514 0.942 0.306
Li11 0.263 0.609 0.025
Li12 0.427 0.611 0.670
Li13 0.486 0.058 0.694
Li14 0.290 0.071 0.067

---

# 4
A plane-wave DFT calculation with GGA-PBEsol was carried out for an optimized crystal structure of LiV2OF5.

* formation energy without anion corrections: -25.05 eV/f.u.
* total energy: -244.7 eV for the cell shown
* energy above the most stable polymorph in this dataset: 0.000 eV per atom
* space-group type: Cc
* magnetic moment: 4.0 μB per formula unit

Unit cell a=4.631 b=4.631 c=18.124 alpha=90.12 beta=90.12 gamma=90.00
Atoms (fractional coordinates):
F1 0.291 0.712 0.165
F2 0.804 0.800 0.084
F3 0.694 0.305 0.001
F4 0.197 0.200 0.584
F5 0.305 0.694 0.501
F6 0.809 0.814 0.252
F7 0.712 0.291 0.665
F8 0.800 0.804 0.584
F9 0.193 0.197 0.251
F10 0.702 0.302 0.834
F11 0.788 0.792 0.415
F12 0.306 0.698 0.834
F13 0.302 0.702 0.334
F14 0.698 0.306 0.334
F15 0.792 0.788 0.915
F16 0.688 0.311 0.502
F17 0.200 0.197 0.084
F18 0.814 0.809 0.752
F19 0.197 0.193 0.751
F20 0.311 0.688 0.002
V1 0.508 0.493 0.090
V2 0.025 0.978 0.667
V3 0.493 0.508 0.590
V4 0.476 0.479 0.417
V5 0.006 0.009 0.340
V6 0.009 0.006 0.840
V7 0.978 0.025 0.167
V8 0.479 0.476 0.917
O1 0.710 0.293 0.156
O2 0.293 0.710 0.656
O3 0.208 0.211 0.406
O4 0.211 0.208 0.906
Li1 0.995 0.001 0.500
Li2 0.001 0.995 0.000
Li3 0.506 0.500 0.750
Li4 0.500 0.506 0.250

---

# 5
A plane-wave DFT calculation with GGA-PBEsol was carried out for an optimized crystal structure of Li3V2O3F3.

* formation energy without anion corrections: -28.33 eV/f.u.
* total energy: -75.0 eV for the cell shown
* space-group type: R3m
* magnetic moment: 3.6 μB per formula unit

Unit cell a=3.134 b=3.134 c=13.337 alpha=83.25 beta=83.25 gamma=60.00
Atoms (fractional coordinates):
V1 0.002 0.002 0.994
V2 0.260 0.260 0.220
Li1 0.133 0.133 0.602
Li2 0.860 0.860 0.421
Li3 0.739 0.739 0.784
O1 0.689 0.689 0.933
O2 0.920 0.920 0.241
O3 0.308 0.308 0.077
F1 0.086 0.086 0.743
F2 0.205 0.205 0.385
F3 0.813 0.813 0.562

---

# 6
A plane-wave DFT calculation with GGA-PBEsol was carried out for an optimized crystal structure of LiV5O7F.

* formation energy without anion corrections: -30.62 eV/f.u.
* total energy: -238.9 eV for the cell shown
* energy above the most stable polymorph in this dataset: 0.084 eV per atom
* space-group type: Cm
* magnetic moment: 6.0 μB per formula unit

Unit cell a=6.006 b=6.006 c=9.949 alpha=87.27 beta=108.75 gamma=123.13
Atoms (fractional coordinates):
O1 0.382 0.468 0.309
O2 0.398 0.682 0.567
O3 0.885 0.440 0.324
O4 0.866 0.708 0.574
O5 0.383 0.962 0.803
O6 0.860 0.189 0.049
O7 0.885 0.169 0.567
O8 0.893 0.918 0.811
O9 0.381 0.926 0.306
O10 0.379 0.449 0.828
O11 0.881 0.656 0.062
O12 0.841 0.927 0.309
O13 0.407 0.182 0.062
O14 0.840 0.419 0.803
V1 0.012 0.519 0.531
V2 0.016 0.001 0.017
V3 0.610 0.547 0.702
V4 0.085 0.520 0.196
V5 0.619 0.818 0.437
V6 0.221 0.627 0.848
V7 0.606 0.311 0.917
V8 0.211 0.108 0.319
V9 0.156 0.093 0.702
V10 0.676 0.112 0.196
F1 0.374 0.699 0.073
F2 0.368 0.192 0.560
Li1 0.623 0.562 0.185
Li2 0.645 0.047 0.693

---

# 7
A plane-wave DFT calculation with GGA-PBEsol was carried out for an optimized crystal structure of Li7V4O11F.

* formation energy without anion corrections: -54.27 eV/f.u.
* total energy: -166.2 eV for the cell shown
* space-group type: P1
* magnetic moment: 4.0 μB per formula unit

Unit cell a=4.914 b=4.919 c=9.637 alpha=84.81 beta=79.88 gamma=60.18
Atoms (fractional coordinates):
O1 0.321 0.178 0.633
O2 0.518 0.168 0.872
O3 0.121 0.479 0.138
O4 0.046 0.184 0.364
O5 0.773 0.179 0.133
O6 0.946 0.803 0.632
O7 0.398 0.481 0.365
O8 0.260 0.789 0.852
O9 0.875 0.524 0.872
O10 0.473 0.829 0.134
O11 0.692 0.835 0.365
V1 0.423 0.161 0.250
V2 0.741 0.508 0.250
V3 0.211 0.498 0.757
V4 0.582 0.872 0.757
Li1 0.310 0.852 0.504
Li2 0.008 0.493 0.497
Li3 0.511 0.490 0.995
Li4 0.846 0.842 0.003
Li5 0.155 0.157 0.006
Li6 0.688 0.155 0.497
Li7 0.084 0.831 0.251
F1 0.601 0.526 0.622

---

# 8
A plane-wave DFT calculation with GGA-PBEsol was carried out for an optimized crystal structure of LiVO2F.

* formation energy without anion corrections: -12.61 eV/f.u.
* total energy: -146.6 eV for the cell shown
* space-group type: Pnma
* magnetic moment: 1.0 μB per formula unit

Unit cell a=3.453 b=4.772 c=13.494 alpha=90.00 beta=90.00 gamma=90.00
Atoms (fractional coordinates):
O1 0.750 0.061 0.894
O2 0.250 0.943 0.438
O3 0.750 0.057 0.562
O4 0.250 0.939 0.106
O5 0.250 0.557 0.938
O6 0.750 0.443 0.062
O7 0.750 0.439 0.394
O8 0.250 0.561 0.606
Li1 0.750 0.361 0.670
Li2 0.250 0.639 0.330
Li3 0.750 0.139 0.170
Li4 0.250 0.861 0.830
F1 0.250 0.426 0.210
F2 0.750 0.926 0.290
F3 0.250 0.074 0.710
F4 0.750 0.574 0.790
V1 0.750 0.104 0.418
V2 0.250 0.604 0.082
V3 0.250 0.896 0.582
V4 0.750 0.396 0.918

---

# 9
A plane-wave DFT calculation with GGA-PBEsol was carried out for an optimized crystal structure of Li5VO3F2.

* formation energy without anion corrections: -25.26 eV/f.u.
* total energy: -64.3 eV for the cell shown
* energy above the most stable polymorph in this dataset: 0.002 eV per atom
* space-group type: C2/m
* magnetic moment: 2.0 μB per formula unit

Unit cell a=3.849 b=5.153 c=5.911 alpha=109.93 beta=90.00 gamma=111.93
Atoms (fractional coordinates):
Li1 0.294 0.589 0.690
Li2 0.000 0.000 0.500
Li3 0.327 0.654 0.119
Li4 0.673 0.346 0.881
Li5 0.706 0.411 0.310
V1 0.000 0.000 0.000
O1 0.500 0.000 0.000
O2 0.142 0.283 0.818
O3 0.858 0.717 0.182
F1 0.830 0.660 0.659
F2 0.170 0.340 0.341

---

# 10
A plane-wave DFT calculation with GGA-PBEsol was carried out for an optimized crystal structure of LiV3O5F3.

* formation energy without anion corrections: -30.78 eV/f.u.
* total energy: -187.4 eV for the cell shown
* energy above the most stable polymorph in this dataset: 0.000 eV per atom
* space-group type: Cc
* magnetic moment: 3.0 μB per formula unit

Unit cell a=4.967 b=7.014 c=7.014 alpha=101.47 beta=90.85 gamma=90.85
Atoms (fractional coordinates):
O1 0.897 0.307 0.423
O2 0.625 0.320 0.938
O3 0.125 0.938 0.320
O4 0.093 0.700 0.571
O5 0.593 0.571 0.700
O6 0.582 0.792 0.436
O7 0.380 0.679 0.066
O8 0.397 0.423 0.307
O9 0.880 0.066 0.679
O10 0.082 0.436 0.792
V1 0.774 0.319 0.694
V2 0.206 0.182 0.338
V3 0.706 0.338 0.182
V4 0.274 0.694 0.319
V5 0.782 0.819 0.649
V6 0.282 0.649 0.819
Li1 0.252 0.155 0.834
Li2 0.752 0.834 0.155
F1 0.052 0.191 0.084
F2 0.412 0.200 0.579
F3 0.946 0.810 0.912
F4 0.446 0.912 0.810
F5 0.912 0.579 0.200
F6 0.552 0.084 0.191

---

# 11
A plane-wave DFT calculation with GGA-PBEsol was carried out for an optimized crystal structure of Li4VO3F2.

* formation energy without anion corrections: -24.99 eV/f.u.
* total energy: -124.2 eV for the cell shown
* energy above the most stable polymorph in this dataset: 0.000 eV per atom
* space-group type: P1
* magnetic moment: 1.0 μB per formula unit

Unit cell a=5.050 b=5.029 c=7.525 alpha=103.79 beta=108.40 gamma=99.52
Atoms (fractional coordinates):
F1 0.495 0.262 0.248
F2 0.288 0.252 0.846
F3 0.285 0.759 0.339
F4 0.502 0.748 0.742
O1 0.112 0.231 0.426
O2 0.907 0.755 0.572
O3 0.899 0.223 0.042
O4 0.714 0.762 0.151
O5 0.716 0.233 0.665
O6 0.105 0.794 0.970
Li1 0.302 0.002 0.592
Li2 0.898 0.510 0.311
Li3 0.719 0.491 0.908
Li4 0.708 0.994 0.408
Li5 0.089 0.492 0.690
Li6 0.519 0.465 0.509
Li7 0.319 0.529 0.103
Li8 0.491 0.997 0.007
V1 0.889 0.995 0.782
V2 0.042 0.003 0.188

---

# 12
A plane-wave DFT calculation with GGA-PBEsol was carried out for an optimized crystal structure of Li2VOF4.

* formation energy without anion corrections: -22.58 eV/f.u.
* total energy: -98.2 eV for the cell shown
* energy above the most stable polymorph in this dataset: 0.007 eV per atom
* space-group type: C2/c
* magnetic moment: 1.0 μB per formula unit

Unit cell a=4.949 b=5.668 c=6.814 alpha=108.51 beta=90.00 gamma=115.89
Atoms (fractional coordinates):
F1 0.587 0.826 0.040
F2 0.340 0.356 0.640
F3 0.239 0.826 0.540
F4 0.660 0.644 0.360
F5 0.016 0.356 0.140
F6 0.761 0.174 0.460
F7 0.413 0.174 0.960
F8 0.984 0.644 0.860
Li1 0.649 0.285 0.745
Li2 0.351 0.715 0.255
Li3 0.364 0.715 0.755
Li4 0.636 0.285 0.245
O1 0.868 0.000 0.750
O2 0.132 0.000 0.250
V1 0.000 0.000 0.000
V2 0.000 0.000 0.500

---

# 13
A plane-wave DFT calculation with GGA-PBEsol was carried out for an optimized crystal structure of Li2VOF3.

* formation energy without anion corrections: -18.97 eV/f.u.
* total energy: -174.3 eV for the cell shown
* energy above the most stable polymorph in this dataset: 0.011 eV per atom
* space-group type: P1
* magnetic moment: 2.0 μB per formula unit

Unit cell a=4.978 b=5.808 c=9.600 alpha=84.67 beta=89.94 gamma=89.36
Atoms (fractional coordinates):
O1 0.202 0.576 0.327
O2 0.295 0.289 0.566
O3 0.202 0.076 0.827
O4 0.296 0.789 0.066
Li1 0.003 0.568 0.132
Li2 0.469 0.899 0.522
Li3 0.490 0.821 0.883
Li4 0.469 0.399 0.022
Li5 0.010 0.626 0.774
Li6 0.010 0.126 0.274
Li7 0.003 0.068 0.632
Li8 0.490 0.321 0.383
F1 0.654 0.461 0.185
F2 0.355 0.532 0.830
F3 0.139 0.272 0.090
F4 0.809 0.421 0.675
F5 0.138 0.771 0.590
F6 0.683 0.685 0.428
F7 0.654 0.961 0.685
F8 0.841 0.715 0.934
F9 0.841 0.214 0.434
F10 0.683 0.185 0.928
F11 0.809 0.921 0.175
F12 0.355 0.032 0.330
V1 0.025 0.998 0.990
V2 0.467 0.249 0.739
V3 0.467 0.749 0.239
V4 0.025 0.498 0.490

---

# 14
A plane-wave DFT calculation with GGA-PBEsol was carried out for an optimized crystal structure of LiV5O7F.

* formation energy without anion corrections: -31.79 eV/f.u.
* total energy: -120.6 eV for the cell shown
* energy above the most stable polymorph in this dataset: 0.000 eV per atom
* space-group type: R3m
* magnetic moment: 3.6 μB per formula unit

Unit cell a=5.854 b=5.854 c=5.854 alpha=58.70 beta=58.70 gamma=58.70
Atoms (fractional coordinates):
V1 0.020 0.020 0.020
V2 0.654 0.654 0.087
V3 0.087 0.654 0.654
V4 0.654 0.087 0.654
V5 0.605 0.605 0.605
O1 0.367 0.367 0.852
O2 0.367 0.852 0.367
O3 0.854 0.407 0.854
O4 0.407 0.854 0.854
O5 0.854 0.854 0.407
O6 0.852 0.367 0.367
O7 0.890 0.890 0.890
Li1 0.253 0.253 0.253
F1 0.386 0.386 0.386